(1)
# ScPa3Te6 PBE-GGA relaxed
data_ScPa3Te6
_chemical_formula_sum 'Sc4 Pa12 Te24'
_cell_length_a 12.037
_cell_length_b 14.546
_cell_length_c 7.283
_cell_angle_alpha 90.00
_cell_angle_beta 90.00
_cell_angle_gamma 90.00
_space_group_name_H-M_alt 'C m c 21'
_space_group_IT_number 36
_space_group_name_Hall 'C 2c -2'
loop_
_atom_site_label
_atom_site_type_symbol
_atom_site_fract_x
_atom_site_fract_y
_atom_site_fract_z
Sc1 Sc 0.000 0.156 0.000
Pa1 Pa 0.000 0.400 0.357
Pa2 Pa 0.168 0.102 0.477
Te1 Te 0.000 0.002 0.736
Te2 Te 0.000 0.243 0.648
Te3 Te 0.166 0.462 0.666
Te4 Te 0.170 0.262 0.180
# calculated total energy: -6.1428 eV per atom
# energy relative to the elements, uncorrected: -0.7759 eV per atom

***

(2)
# Nd2PuSb3Rh4 PBE-GGA relaxed
data_Nd2PuSb3Rh4
_chemical_formula_sum 'Nd2 Pu1 Sb3 Rh4'
_cell_length_a 4.447
_cell_length_b 4.447
_cell_length_c 11.254
_cell_angle_alpha 90.00
_cell_angle_beta 90.00
_cell_angle_gamma 90.00
_space_group_name_H-M_alt 'P -4 m 2'
_space_group_IT_number 115
_space_group_name_Hall 'P -4 -2'
loop_
_atom_site_label
_atom_site_type_symbol
_atom_site_fract_x
_atom_site_fract_y
_atom_site_fract_z
Nd1 Nd 0.000 0.500 0.228
Pu1 Pu 0.000 0.000 0.500
Sb1 Sb 0.000 0.500 0.871
Sb2 Sb 0.500 0.500 0.500
Rh1 Rh 0.000 0.000 0.000
Rh2 Rh 0.000 0.500 0.643
Rh3 Rh 0.500 0.500 0.000
# calculated total energy: -7.3352 eV per atom
# energy relative to the elements, uncorrected: -0.7711 eV per atom

***

(3)
# Ac2Al2Ga PBE-GGA relaxed
data_Ac2Al2Ga
_chemical_formula_sum 'Ac8 Al8 Ga4'
_cell_length_a 12.198
_cell_length_b 4.492
_cell_length_c 11.713
_cell_angle_alpha 90.00
_cell_angle_beta 115.85
_cell_angle_gamma 90.00
_space_group_name_H-M_alt 'C 1 2/m 1'
_space_group_IT_number 12
_space_group_name_Hall '-C 2y'
loop_
_atom_site_label
_atom_site_type_symbol
_atom_site_fract_x
_atom_site_fract_y
_atom_site_fract_z
Ac1 Ac 0.113 0.000 0.401
Ac2 Ac 0.213 0.500 0.147
Al1 Al 0.037 0.000 0.913
Al2 Al 0.106 0.500 0.613
Ga1 Ga 0.063 0.500 0.816
# calculated total energy: -4.1646 eV per atom
# DFT formation energy: -0.4188 eV per atom

***

(4)
# NpF6 PBE-GGA relaxed
data_NpF6
_chemical_formula_sum 'Np4 F24'
_cell_length_a 10.181
_cell_length_b 9.226
_cell_length_c 5.367
_cell_angle_alpha 90.00
_cell_angle_beta 90.00
_cell_angle_gamma 90.00
_space_group_name_H-M_alt 'P n m a'
_space_group_IT_number 62
_space_group_name_Hall '-P 2ac 2n'
loop_
_atom_site_label
_atom_site_type_symbol
_atom_site_fract_x
_atom_site_fract_y
_atom_site_fract_z
Np1 Np 0.130 0.250 0.080
F1 F 0.015 0.250 0.776
F2 F 0.016 0.096 0.234
F3 F 0.243 0.096 0.926
F4 F 0.245 0.250 0.384
# calculated total energy: -6.5437 eV per atom
# energy relative to the elements, uncorrected: -3.0911 eV per atom

***

(5)
# Li2Ge2Au5 PBE-GGA relaxed
data_Li2Ge2Au5
_chemical_formula_sum 'Li2 Ge2 Au5'
_cell_length_a 4.5870
_cell_length_b 4.5870
_cell_length_c 8.5803
_cell_angle_alpha 90.00
_cell_angle_beta 90.00
_cell_angle_gamma 120.00
_space_group_name_H-M_alt 'P -6 m 2'
_space_group_IT_number 187
_space_group_name_Hall 'P -6 2'
loop_
_atom_site_label
_atom_site_type_symbol
_atom_site_fract_x
_atom_site_fract_y
_atom_site_fract_z
Li1 Li 0.0000 0.0000 0.0000
Li2 Li 0.3333 0.6667 0.5000
Ge1 Ge 0.6667 0.3333 0.3138
Au1 Au 0.0000 0.0000 0.3330
Au2 Au 0.3333 0.6667 0.1687
Au3 Au 0.6667 0.3333 0.0000
# calculated total energy: -3.5507 eV per atom
# DFT formation energy: -0.2786 eV per atom
# excess energy over the best structure of this formula in the dataset: 0 kJ/mol of formula units

***

(6)
# PrSiNi PBE-GGA relaxed
data_PrSiNi
_chemical_formula_sum 'Pr2 Si2 Ni2'
_cell_length_a 8.117
_cell_length_b 4.685
_cell_length_c 4.318
_cell_angle_alpha 90.00
_cell_angle_beta 90.14
_cell_angle_gamma 90.00
_space_group_name_H-M_alt 'C 1 m 1'
_space_group_IT_number 8
_space_group_name_Hall 'C -2y'
loop_
_atom_site_label
_atom_site_type_symbol
_atom_site_fract_x
_atom_site_fract_y
_atom_site_fract_z
Pr1 Pr 0.000 0.000 0.000
Si1 Si 0.334 0.000 0.501
Ni1 Ni 0.333 0.000 0.001
# calculated total energy: -5.4023 eV per atom
# energy relative to the elements, uncorrected: -0.0744 eV per atom

***

(7)
# TiAs2Se PBE-GGA relaxed
data_TiAs2Se
_chemical_formula_sum 'Ti4 As8 Se4'
_cell_length_a 5.838
_cell_length_b 5.838
_cell_length_c 12.485
_cell_angle_alpha 90.00
_cell_angle_beta 90.00
_cell_angle_gamma 90.00
_space_group_name_H-M_alt 'I -4 2 d'
_space_group_IT_number 122
_space_group_name_Hall 'I -4 2bw'
loop_
_atom_site_label
_atom_site_type_symbol
_atom_site_fract_x
_atom_site_fract_y
_atom_site_fract_z
Ti1 Ti 0.000 0.000 0.000
As1 As 0.221 0.250 0.125
Se1 Se 0.000 0.000 0.500
# calculated total energy: -5.0313 eV per atom
# energy relative to the elements, uncorrected: 0.1383 eV per atom

***

(8)
# Ce3TlC PBE-GGA relaxed
data_Ce3TlC
_chemical_formula_sum 'Ce3 Tl1 C1'
_cell_length_a 5.871
_cell_length_b 5.871
_cell_length_c 5.871
_cell_angle_alpha 90.00
_cell_angle_beta 90.00
_cell_angle_gamma 90.00
_space_group_name_H-M_alt 'P m -3 m'
_space_group_IT_number 221
_space_group_name_Hall '-P 4 2 3'
loop_
_atom_site_label
_atom_site_type_symbol
_atom_site_fract_x
_atom_site_fract_y
_atom_site_fract_z
Ce1 Ce 0.000 0.000 0.500
Tl1 Tl 0.000 0.000 0.000
C1 C 0.500 0.500 0.500
# calculated total energy: -4.0134 eV per atom
# DFT formation energy: 1.8649 eV per atom
# excess energy over the best structure of this formula in the dataset: 1034 kJ/mol of formula units

***

(9)
# SrZn2GeAu5 PBE-GGA relaxed
data_SrZn2GeAu5
_chemical_formula_sum 'Sr1 Zn2 Ge1 Au5'
_cell_length_a 5.024
_cell_length_b 5.024
_cell_length_c 7.564
_cell_angle_alpha 90.00
_cell_angle_beta 90.00
_cell_angle_gamma 90.00
_space_group_name_H-M_alt 'P 4/m m m'
_space_group_IT_number 123
_space_group_name_Hall '-P 4 2'
loop_
_atom_site_label
_atom_site_type_symbol
_atom_site_fract_x
_atom_site_fract_y
_atom_site_fract_z
Sr1 Sr 0.000 0.000 0.000
Zn1 Zn 0.500 0.500 0.336
Ge1 Ge 0.000 0.000 0.500
Au1 Au 0.000 0.500 0.292
Au2 Au 0.500 0.500 0.000
# calculated total energy: -2.9780 eV per atom
# DFT formation energy: -0.1742 eV per atom